[1]
Ca2TlHgPb | PBE | optimized geometry

Cell lengths 4.9120, 7.9180, 7.5949 Å; angles 100.47, 90.00, 90.00 degrees
Fractional positions:
Ca: 0.7500 0.8332 0.5628
Ca: 0.7500 0.6582 0.9863
Ca: 0.2500 0.3418 0.0137
Ca: 0.2500 0.1668 0.4372
Tl: 0.2500 0.9367 0.8646
Tl: 0.7500 0.0633 0.1354
Pb: 0.7500 0.2715 0.7206
Pb: 0.2500 0.7285 0.2794
Hg: 0.7500 0.4457 0.3283
Hg: 0.2500 0.5543 0.6717

## Properties
Final energy   -2.460 eV/atom
Energy relative to the elements   -384 meV per atom



[2]
Ca2Tl2Hg2Pb | PBE | optimized geometry

Cell lengths 5.2834, 5.2834, 8.7461 Å; angles 72.42, 72.42, 60.00 degrees
Fractional positions:
Tl: 0.8505 0.8505 0.4485
Tl: 0.1495 0.1495 0.5515
Hg: 0.7156 0.7156 0.8534
Hg: 0.2844 0.2844 0.1466
Pb: 0.0000 0.0000 0.0000
Ca: 0.5813 0.5813 0.2562
Ca: 0.4187 0.4187 0.7438

## Properties
Final energy   -2.184 eV/atom
Energy relative to the elements   -320 meV per atom



[3]
CaTmHgPb | PBE | optimized geometry

Cell lengths 5.3720, 5.3720, 5.3720 Å; angles 60.00, 60.00, 60.00 degrees
Fractional positions:
Hg: 0.0000 0.0000 0.0000
Pb: 0.5000 0.5000 0.5000
Ca: 0.2500 0.2500 0.2500
Tm: 0.7500 0.7500 0.7500

## Properties
Final energy   -3.089 eV/atom
Energy relative to the elements   -468 meV per atom



[4]
CaTm2Hg4Pb | PBE | optimized geometry

Cell lengths 5.2569, 5.2569, 9.0890 Å; angles 73.19, 73.19, 60.00 degrees
Fractional positions:
Hg: 0.3690 0.3690 0.8930
Hg: 0.8796 0.8796 0.3613
Hg: 0.6310 0.6310 0.1070
Hg: 0.1204 0.1204 0.6387
Ca: 0.0000 0.0000 0.0000
Tm: 0.2457 0.2457 0.2628
Tm: 0.7543 0.7543 0.7372
Pb: 0.5000 0.5000 0.5000

## Properties
Final energy   -2.361 eV/atom
Energy relative to the elements   -378 meV per atom



[5]
CaTmHgPb | PBE | optimized geometry

Cell lengths 4.0410, 5.1357, 5.2574 Å; angles 90.00, 90.00, 90.00 degrees
Fractional positions:
Pb: 0.0000 0.0000 0.0000
Hg: 0.0000 0.5000 0.5000
Ca: 0.5000 0.0000 0.5000
Tm: 0.5000 0.5000 0.0000

## Properties
Final energy   -3.095 eV/atom
Energy relative to the elements   -474 meV per atom



[6]
CaHg2PbW | PBE | optimized geometry

Cell lengths 5.6475, 5.4050, 5.6475 Å; angles 90.00, 90.00, 90.00 degrees
Site moments in Bohr magnetons follow the coordinates.
Fractional positions:
W: 0.0000 0.5000 0.0000  2.46
Hg: 0.5000 0.0000 0.0000  0.00
Hg: 0.0000 0.0000 0.5000  -0.01
Pb: 0.0000 0.0000 0.0000  -0.05
Ca: 0.5000 0.5000 0.5000  -0.01

## Properties
Final energy   -2.699 eV/atom
Energy relative to the elements   1154 meV per atom



[7]
CaZn2HgPb | PBE | optimized geometry

Cell lengths 5.3680, 5.7493, 5.3680 Å; angles 90.00, 90.00, 90.00 degrees
Fractional positions:
Zn: 0.5000 0.0000 0.0000
Zn: 0.0000 0.0000 0.5000
Hg: 0.0000 0.5000 0.0000
Ca: 0.5000 0.5000 0.5000
Pb: 0.0000 0.0000 0.0000

## Properties
Final energy   -1.400 eV/atom
Energy relative to the elements   312 meV per atom



[8]
Ca3HgPd | PBE | optimized geometry

Cell lengths 5.5399, 5.5399, 5.5399 Å; angles 90.00, 90.00, 90.00 degrees
Fractional positions:
Ca: 0.0000 0.0000 0.5000
Ca: 0.0000 0.5000 0.0000
Ca: 0.5000 0.0000 0.0000
Hg: 0.5000 0.5000 0.5000
Pd: 0.0000 0.0000 0.0000

## Properties
Final energy   -2.669 eV/atom
Energy relative to the elements   -369 meV per atom



[9]
CaHg8Pd4 | PBE | optimized geometry

Cell lengths 5.8512, 7.4585, 7.4585 Å; angles 81.15, 66.91, 66.91 degrees
Fractional positions:
Pd: 0.5000 0.5000 0.0000
Pd: 0.0000 0.5000 0.0000
Pd: 0.0000 0.0000 0.5000
Pd: 0.5000 0.0000 0.5000
Hg: 0.3284 0.6716 0.6716
Hg: 0.5000 0.7798 0.2202
Hg: 0.5000 0.2202 0.7798
Hg: 0.0000 0.6716 0.3284
Hg: 0.2798 0.2202 0.2202
Hg: 0.6716 0.3284 0.3284
Hg: 0.7202 0.7798 0.7798
Hg: 0.0000 0.3284 0.6716
Ca: 0.0000 0.0000 0.0000

## Properties
Final energy   -2.157 eV/atom
Energy relative to the elements   -220 meV per atom



[10]
Ca2HgPd4 | PBE | optimized geometry

Cell lengths 5.0301, 5.0301, 8.0353 Å; angles 71.76, 71.76, 90.00 degrees
Fractional positions:
Pd: 0.0000 0.5000 0.0000
Pd: 0.8152 0.8152 0.3695
Pd: 0.5000 0.0000 0.0000
Pd: 0.1848 0.1848 0.6305
Hg: 0.0000 0.0000 0.0000
Ca: 0.3715 0.3715 0.2569
Ca: 0.6285 0.6285 0.7431

## Properties
Final energy   -3.536 eV/atom
Energy relative to the elements   47 meV per atom



[11]
CaHg4Pd | PBE | optimized geometry

Cell lengths 4.5897, 4.5897, 7.8197 Å; angles 90.00, 90.00, 90.00 degrees
Fractional positions:
Hg: 0.5000 0.0000 0.7152
Hg: 0.0000 0.5000 0.7152
Hg: 0.5000 0.0000 0.2848
Hg: 0.0000 0.5000 0.2848
Ca: 0.0000 0.0000 0.0000
Pd: 0.5000 0.5000 0.5000

## Properties
Final energy   -1.576 eV/atom
Energy relative to the elements   -175 meV per atom



[12]
Ca8HgPd2 | PBE | optimized geometry

Cell lengths 5.9531, 8.1019, 8.1019 Å; angles 111.75, 98.26, 98.26 degrees
Fractional positions:
Ca: 0.5772 0.0707 0.3346
Ca: 0.1889 0.3786 0.3786
Ca: 0.3997 0.6705 0.9358
Ca: 0.9904 0.7646 0.2387
Ca: 0.3997 0.9358 0.6705
Ca: 0.7963 0.6292 0.6292
Ca: 0.9904 0.2387 0.7646
Ca: 0.5772 0.3346 0.0707
Hg: 0.0915 0.0030 0.0030
Pd: 0.4942 0.3183 0.6900
Pd: 0.4942 0.6900 0.3183

## Properties
Final energy   -2.800 eV/atom
Energy relative to the elements   -373 meV per atom



[13]
Ca3HgPd | PBE | optimized geometry

Cell lengths 8.6156, 7.3904, 9.0054 Å; angles 92.96, 90.00, 90.00 degrees
Fractional positions:
Ca: 0.5181 0.2975 0.3800
Ca: 0.7938 0.9871 0.9074
Ca: 0.4819 0.7025 0.6200
Ca: 0.2938 0.5129 0.0926
Ca: 0.0181 0.2025 0.6200
Ca: 0.9819 0.7975 0.3800
Ca: 0.7062 0.4871 0.9074
Ca: 0.6044 0.8275 0.2313
Ca: 0.3956 0.1725 0.7687
Ca: 0.1044 0.6725 0.7687
Ca: 0.8956 0.3275 0.2313
Ca: 0.2062 0.0129 0.0926
Pd: 0.4600 0.8173 0.9328
Pd: 0.5400 0.1827 0.0672
Pd: 0.0400 0.3173 0.9328
Pd: 0.9600 0.6827 0.0672
Hg: 0.7963 0.5202 0.5517
Hg: 0.7037 0.0202 0.5517
Hg: 0.2963 0.9798 0.4483
Hg: 0.2037 0.4798 0.4483

## Properties
Final energy   -2.805 eV/atom
Energy relative to the elements   -505 meV per atom



[14]
Ca5HgPd2 | PBE | optimized geometry

Cell lengths 7.8664, 7.8664, 9.1586 Å; angles 115.43, 115.43, 90.00 degrees
Fractional positions:
Pd: 0.6286 0.1286 0.0000
Pd: 0.8714 0.6286 0.0000
Pd: 0.1286 0.3714 0.0000
Pd: 0.3714 0.8714 0.0000
Ca: 0.5300 0.6970 0.7270
Ca: 0.0300 0.5300 0.7270
Ca: 0.5000 0.5000 0.0000
Ca: 0.0000 0.0000 0.0000
Ca: 0.8030 0.9700 0.2730
Ca: 0.4700 0.3030 0.2730
Ca: 0.3030 0.8030 0.2730
Ca: 0.9700 0.4700 0.2730
Ca: 0.1970 0.0300 0.7270
Ca: 0.6970 0.1970 0.7270
Hg: 0.7500 0.7500 0.5000
Hg: 0.2500 0.2500 0.5000

## Properties
Final energy   -3.162 eV/atom
Energy relative to the elements   -575 meV per atom



[15]
Ca3HgPd8 | PBE | optimized geometry

Cell lengths 5.4368, 5.4368, 9.4114 Å; angles 73.21, 73.21, 60.00 degrees
Fractional positions:
Hg: 0.8734 0.8734 0.3797
Pd: 0.4376 0.4376 0.1864
Pd: 0.4381 0.9372 0.6875
Pd: 0.4376 0.9385 0.1864
Pd: 0.1878 0.1878 0.4367
Pd: 0.6876 0.6876 0.9372
Pd: 0.9372 0.4381 0.6875
Pd: 0.9372 0.9372 0.6875
Pd: 0.9385 0.4376 0.1864
Ca: 0.9937 0.9937 0.0188
Ca: 0.3759 0.3759 0.8722
Ca: 0.5054 0.5054 0.4839

## Properties
Final energy   -4.565 eV/atom
Energy relative to the elements   -578 meV per atom



[16]
Ca6HgPd2 | PBE | optimized geometry

Cell lengths 8.8638, 8.8638, 8.8638 Å; angles 103.37, 111.28, 113.94 degrees
Fractional positions:
Ca: 0.3110 0.9760 0.6649
Ca: 0.1971 0.7615 0.9586
Ca: 0.6890 0.0240 0.3351
Ca: 0.3110 0.6461 0.3351
Ca: 0.1971 0.2385 0.4356
Ca: 0.1092 0.2876 0.8216
Ca: 0.8029 0.2385 0.0414
Ca: 0.5340 0.7124 0.8216
Ca: 0.8029 0.7615 0.5644
Ca: 0.8908 0.7124 0.1784
Ca: 0.6890 0.3539 0.6649
Ca: 0.4660 0.2876 0.1784
Pd: 0.3364 0.0000 0.3364
Pd: 0.5000 0.3716 0.8716
Pd: 0.6636 0.0000 0.6636
Pd: 0.5000 0.6284 0.1284
Hg: 0.0000 0.0000 0.0000
Hg: 0.0000 0.5000 0.5000

## Properties
Final energy   -3.010 eV/atom
Energy relative to the elements   -488 meV per atom



[17]
CaHg3Pd4 | PBE | optimized geometry

Cell lengths 4.9671, 6.2241, 9.6980 Å; angles 90.00, 90.00, 90.00 degrees
Fractional positions:
Pd: 0.5000 0.2412 0.0000
Pd: 0.5000 0.7588 0.0000
Pd: 0.9004 0.7642 0.2500
Pd: 0.9004 0.2358 0.2500
Pd: 0.5000 0.2412 0.5000
Pd: 0.0996 0.2358 0.7500
Pd: 0.5000 0.7588 0.5000
Pd: 0.0996 0.7642 0.7500
Hg: 0.5910 0.0000 0.7500
Hg: 0.0000 0.0000 0.5000
Hg: 0.0000 0.0000 0.0000
Hg: 0.4090 0.0000 0.2500
Hg: 0.5705 0.5000 0.7500
Hg: 0.4295 0.5000 0.2500
Ca: 0.0000 0.5000 0.0000
Ca: 0.0000 0.5000 0.5000

## Properties
Final energy   -3.304 eV/atom
Energy relative to the elements   -344 meV per atom



[18]
Ca4HgPd3 | PBE | optimized geometry

Cell lengths 3.9821, 4.5624, 10.9915 Å; angles 90.00, 90.00, 90.00 degrees
Fractional positions:
Hg: 0.5000 0.5000 0.0751
Pd: 0.5000 0.0000 0.9205
Pd: 0.0000 0.5000 0.5781
Pd: 0.0000 0.0000 0.4227
Ca: 0.5000 0.0000 0.6342
Ca: 0.0000 0.0000 0.1502
Ca: 0.5000 0.5000 0.3738
Ca: 0.0000 0.5000 0.8453

## Properties
Final energy   -3.623 eV/atom
Energy relative to the elements   -638 meV per atom



[19]
CaHg2Pd3 | PBE | optimized geometry

Cell lengths 4.7110, 4.7110, 12.2925 Å; angles 90.00, 90.00, 120.00 degrees
Fractional positions:
Hg: 0.3333 0.6667 0.9063
Hg: 0.6667 0.3333 0.0937
Hg: 0.3333 0.6667 0.5937
Hg: 0.6667 0.3333 0.4063
Pd: 0.0000 0.0000 0.0000
Pd: 0.0000 0.0000 0.5000
Pd: 0.3333 0.6667 0.3653
Pd: 0.6667 0.3333 0.6347
Pd: 0.6667 0.3333 0.8653
Pd: 0.3333 0.6667 0.1347
Ca: 0.0000 0.0000 0.7500
Ca: 0.0000 0.0000 0.2500

## Properties
Final energy   -3.450 eV/atom
Energy relative to the elements   -419 meV per atom



[20]
Ca6HgPd | PBE | optimized geometry

Cell lengths 5.2663, 5.2663, 10.2132 Å; angles 75.06, 75.06, 90.00 degrees
Fractional positions:
Pd: 0.0000 0.0000 0.0000
Ca: 0.4070 0.9070 0.1861
Ca: 0.9069 0.4070 0.1861
Ca: 0.0931 0.5930 0.8139
Ca: 0.2500 0.2501 0.4999
Ca: 0.7500 0.7499 0.5001
Ca: 0.5930 0.0930 0.8139
Hg: 0.5000 0.5000 0.0000

## Properties
Final energy   -2.488 eV/atom
Energy relative to the elements   -300 meV per atom